[1]
# SrBe GGA-PBE optimized geometry
data_SrBe
_chemical_formula_sum 'Sr2 Be2'
_symmetry_space_group_name_H-M 'P 1'
_symmetry_Int_Tables_number 1
_cell_length_a 3.4015
_cell_length_b 3.4015
_cell_length_c 8.9419
_cell_angle_alpha 90.00
_cell_angle_beta 90.00
_cell_angle_gamma 90.00
loop_
_symmetry_equiv_pos_as_xyz
'x,y,z'
loop_
_atom_site_label
_atom_site_type_symbol
_atom_site_fract_x
_atom_site_fract_y
_atom_site_fract_z
_atom_site_occupancy
Sr1 Sr 0.2500 0.2500 0.2052 1
Sr2 Sr 0.7500 0.7500 0.7948 1
Be1 Be 0.2500 0.2500 0.5430 1
Be2 Be 0.7500 0.7500 0.4570 1
# Theoretical density = 3.1 g/cm3
# Energy of formation from the pure elements = 0.579 eV per atom
# E = -2.125 eV/atom
# Excess energy over the best structure of this formula in the dataset = 280 meV per atom
# Total magnetization = 0.00 μB per atom
# Space group = P4/nmm (129)

[2]
# SrBe GGA-PBE optimized geometry
data_SrBe
_chemical_formula_sum 'Sr4 Be4'
_symmetry_space_group_name_H-M 'P 1'
_symmetry_Int_Tables_number 1
_cell_length_a 7.9164
_cell_length_b 7.1901
_cell_length_c 6.3257
_cell_angle_alpha 71.38
_cell_angle_beta 59.40
_cell_angle_gamma 49.22
loop_
_symmetry_equiv_pos_as_xyz
'x,y,z'
loop_
_atom_site_label
_atom_site_type_symbol
_atom_site_fract_x
_atom_site_fract_y
_atom_site_fract_z
_atom_site_occupancy
Sr1 Sr 0.0785 0.6715 0.0785 1
Sr2 Sr 0.3285 0.9215 0.3285 1
Sr3 Sr 0.6715 0.0785 0.6715 1
Sr4 Sr 0.9215 0.3285 0.9215 1
Be1 Be 0.2354 0.5146 0.5146 1
Be2 Be 0.4854 0.7646 0.7646 1
Be3 Be 0.5146 0.2354 0.2354 1
Be4 Be 0.7646 0.4854 0.4854 1
# Theoretical density = 2.7 g/cm3
# Energy of formation from the pure elements = 0.570 eV per atom
# E = -2.134 eV/atom
# Excess energy over the best structure of this formula in the dataset = 271 meV per atom
# Total magnetization = 0.00 μB per atom
# Space group = Fddd (70)

[3]
# Sr2Be GGA-PBE optimized geometry
data_Sr2Be
_chemical_formula_sum 'Sr2 Be1'
_symmetry_space_group_name_H-M 'P 1'
_symmetry_Int_Tables_number 1
_cell_length_a 5.4097
_cell_length_b 5.4097
_cell_length_c 5.4097
_cell_angle_alpha 60.00
_cell_angle_beta 60.00
_cell_angle_gamma 60.00
loop_
_symmetry_equiv_pos_as_xyz
'x,y,z'
loop_
_atom_site_label
_atom_site_type_symbol
_atom_site_fract_x
_atom_site_fract_y
_atom_site_fract_z
_atom_site_occupancy
Sr1 Sr 0.2500 0.2500 0.2500 1
Sr2 Sr 0.7500 0.7500 0.7500 1
Be1 Be 0.0000 0.0000 0.0000 1
# Theoretical density = 2.7 g/cm3
# Energy of formation from the pure elements = 0.461 eV per atom
# E = -1.902 eV/atom
# Excess energy over the best structure of this formula in the dataset = 154 meV per atom
# Total magnetization = 0.19 μB per atom
# Space group = Fm-3m (225)

[4]
# SrBe2 GGA-PBE optimized geometry
data_SrBe2
_chemical_formula_sum 'Sr2 Be4'
_symmetry_space_group_name_H-M 'P 1'
_symmetry_Int_Tables_number 1
_cell_length_a 7.5004
_cell_length_b 7.5004
_cell_length_c 7.5004
_cell_angle_alpha 146.89
_cell_angle_beta 146.89
_cell_angle_gamma 47.53
loop_
_symmetry_equiv_pos_as_xyz
'x,y,z'
loop_
_atom_site_label
_atom_site_type_symbol
_atom_site_fract_x
_atom_site_fract_y
_atom_site_fract_z
_atom_site_occupancy
Sr1 Sr 0.3750 0.6250 0.7500 1
Sr2 Sr 0.6250 0.3750 0.2500 1
Be1 Be 0.0391 0.7891 0.2500 1
Be2 Be 0.2109 0.9609 0.2500 1
Be3 Be 0.7891 0.0391 0.7500 1
Be4 Be 0.9609 0.2109 0.7500 1
# Theoretical density = 2.8 g/cm3
# Energy of formation from the pure elements = 0.477 eV per atom
# E = -2.568 eV/atom
# Excess energy over the best structure of this formula in the dataset = 199 meV per atom
# Total magnetization = 0.00 μB per atom
# Space group = I4_1/amd (141)

[5]
# SrBe GGA-PBE optimized geometry
data_SrBe
_chemical_formula_sum 'Sr3 Be3'
_symmetry_space_group_name_H-M 'P 1'
_symmetry_Int_Tables_number 1
_cell_length_a 4.0581
_cell_length_b 6.5441
_cell_length_c 6.5441
_cell_angle_alpha 103.93
_cell_angle_beta 90.00
_cell_angle_gamma 90.00
loop_
_symmetry_equiv_pos_as_xyz
'x,y,z'
loop_
_atom_site_label
_atom_site_type_symbol
_atom_site_fract_x
_atom_site_fract_y
_atom_site_fract_z
_atom_site_occupancy
Sr1 Sr 0.0000 0.0000 0.0000 1
Sr2 Sr 0.5000 0.1578 0.5568 1
Sr3 Sr 0.5000 0.5568 0.1578 1
Be1 Be 0.0000 0.5415 0.7373 1
Be2 Be 0.0000 0.7373 0.5415 1
Be3 Be 0.5000 0.6669 0.6669 1
# Theoretical density = 2.9 g/cm3
# Energy of formation from the pure elements = 0.302 eV per atom
# E = -2.402 eV/atom
# Excess energy over the best structure of this formula in the dataset = 3 meV per atom
# Total magnetization = 0.00 μB per atom
# Space group = Amm2 (38)

[6]
# SrBe GGA-PBE optimized geometry
data_SrBe
_chemical_formula_sum 'Sr2 Be2'
_symmetry_space_group_name_H-M 'P 1'
_symmetry_Int_Tables_number 1
_cell_length_a 8.2625
_cell_length_b 8.2625
_cell_length_c 8.2625
_cell_angle_alpha 29.59
_cell_angle_beta 29.59
_cell_angle_gamma 29.59
loop_
_symmetry_equiv_pos_as_xyz
'x,y,z'
loop_
_atom_site_label
_atom_site_type_symbol
_atom_site_fract_x
_atom_site_fract_y
_atom_site_fract_z
_atom_site_occupancy
Sr1 Sr 0.0819 0.0819 0.0819 1
Sr2 Sr 0.9181 0.9181 0.9181 1
Be1 Be 0.3333 0.3333 0.3333 1
Be2 Be 0.6667 0.6667 0.6667 1
# Theoretical density = 2.6 g/cm3
# Energy of formation from the pure elements = 0.299 eV per atom
# E = -2.405 eV/atom
# Excess energy over the best structure of this formula in the dataset = 0 meV per atom
# Total magnetization = 0.00 μB per atom
# Space group = R-3m (166)

[7]
# Sr2Be GGA-PBE optimized geometry
data_Sr2Be
_chemical_formula_sum 'Sr2 Be1'
_symmetry_space_group_name_H-M 'P 1'
_symmetry_Int_Tables_number 1
_cell_length_a 5.6337
_cell_length_b 5.6337
_cell_length_c 3.4739
_cell_angle_alpha 90.00
_cell_angle_beta 90.00
_cell_angle_gamma 120.00
loop_
_symmetry_equiv_pos_as_xyz
'x,y,z'
loop_
_atom_site_label
_atom_site_type_symbol
_atom_site_fract_x
_atom_site_fract_y
_atom_site_fract_z
_atom_site_occupancy
Sr1 Sr 0.3333 0.6667 0.0000 1
Sr2 Sr 0.6667 0.3333 0.0000 1
Be1 Be 0.0000 0.0000 0.5000 1
# Theoretical density = 3.2 g/cm3
# Energy of formation from the pure elements = 0.788 eV per atom
# E = -1.575 eV/atom
# Excess energy over the best structure of this formula in the dataset = 481 meV per atom
# Total magnetization = 0.00 μB per atom
# Space group = P6/mmm (191)

[8]
# SrBe GGA-PBE optimized geometry
data_SrBe
_chemical_formula_sum 'Sr4 Be4'
_symmetry_space_group_name_H-M 'P 1'
_symmetry_Int_Tables_number 1
_cell_length_a 8.2682
_cell_length_b 8.2682
_cell_length_c 8.2682
_cell_angle_alpha 93.52
_cell_angle_beta 93.52
_cell_angle_gamma 151.31
loop_
_symmetry_equiv_pos_as_xyz
'x,y,z'
loop_
_atom_site_label
_atom_site_type_symbol
_atom_site_fract_x
_atom_site_fract_y
_atom_site_fract_z
_atom_site_occupancy
Sr1 Sr 0.0000 0.2636 0.2636 1
Sr2 Sr 0.0000 0.7364 0.7364 1
Sr3 Sr 0.2636 0.0000 0.2636 1
Sr4 Sr 0.7364 0.0000 0.7364 1
Be1 Be 0.2672 0.2672 0.5343 1
Be2 Be 0.2672 0.7328 0.0000 1
Be3 Be 0.7328 0.2672 0.0000 1
Be4 Be 0.7328 0.7328 0.4657 1
# Theoretical density = 2.4 g/cm3
# Energy of formation from the pure elements = 0.372 eV per atom
# E = -2.332 eV/atom
# Excess energy over the best structure of this formula in the dataset = 73 meV per atom
# Total magnetization = 0.00 μB per atom
# Space group = I4/mmm (139)

[9]
# Sr2Be GGA-PBE optimized geometry
data_Sr2Be
_chemical_formula_sum 'Sr4 Be2'
_symmetry_space_group_name_H-M 'P 1'
_symmetry_Int_Tables_number 1
_cell_length_a 7.2969
_cell_length_b 7.6038
_cell_length_c 4.4552
_cell_angle_alpha 90.00
_cell_angle_beta 90.00
_cell_angle_gamma 90.00
loop_
_symmetry_equiv_pos_as_xyz
'x,y,z'
loop_
_atom_site_label
_atom_site_type_symbol
_atom_site_fract_x
_atom_site_fract_y
_atom_site_fract_z
_atom_site_occupancy
Sr1 Sr 0.2426 0.1708 0.0000 1
Sr2 Sr 0.2574 0.6708 0.5000 1
Sr3 Sr 0.7426 0.3292 0.5000 1
Sr4 Sr 0.7574 0.8292 0.0000 1
Be1 Be 0.0000 0.0000 0.5000 1
Be2 Be 0.5000 0.5000 0.0000 1
# Theoretical density = 2.5 g/cm3
# Energy of formation from the pure elements = 0.441 eV per atom
# E = -1.923 eV/atom
# Excess energy over the best structure of this formula in the dataset = 134 meV per atom
# Total magnetization = 0.04 μB per atom
# Space group = Pnnm (58)

[10]
# SrBe GGA-PBE optimized geometry
data_SrBe
_chemical_formula_sum 'Sr1 Be1'
_symmetry_space_group_name_H-M 'P 1'
_symmetry_Int_Tables_number 1
_cell_length_a 4.9136
_cell_length_b 4.9136
_cell_length_c 4.9136
_cell_angle_alpha 60.00
_cell_angle_beta 60.00
_cell_angle_gamma 60.00
loop_
_symmetry_equiv_pos_as_xyz
'x,y,z'
loop_
_atom_site_label
_atom_site_type_symbol
_atom_site_fract_x
_atom_site_fract_y
_atom_site_fract_z
_atom_site_occupancy
Sr1 Sr 0.0000 0.0000 0.0000 1
Be1 Be 0.7500 0.7500 0.7500 1
# Theoretical density = 1.9 g/cm3
# Energy of formation from the pure elements = 1.196 eV per atom
# E = -1.508 eV/atom
# Excess energy over the best structure of this formula in the dataset = 897 meV per atom
# Total magnetization = 0.00 μB per atom
# Space group = F-43m (216)

[11]
# SrBe GGA-PBE optimized geometry
data_SrBe
_chemical_formula_sum 'Sr2 Be2'
_symmetry_space_group_name_H-M 'P 1'
_symmetry_Int_Tables_number 1
_cell_length_a 4.9434
_cell_length_b 4.9434
_cell_length_c 4.9434
_cell_angle_alpha 65.42
_cell_angle_beta 65.42
_cell_angle_gamma 65.42
loop_
_symmetry_equiv_pos_as_xyz
'x,y,z'
loop_
_atom_site_label
_atom_site_type_symbol
_atom_site_fract_x
_atom_site_fract_y
_atom_site_fract_z
_atom_site_occupancy
Sr1 Sr 0.1386 0.1386 0.1386 1
Sr2 Sr 0.8614 0.8614 0.8614 1
Be1 Be 0.4021 0.4021 0.4021 1
Be2 Be 0.5979 0.5979 0.5979 1
# Theoretical density = 3.4 g/cm3
# Energy of formation from the pure elements = 0.655 eV per atom
# E = -2.049 eV/atom
# Excess energy over the best structure of this formula in the dataset = 356 meV per atom
# Total magnetization = 0.00 μB per atom
# Space group = R-3m (166)

[12]
# SrBe GGA-PBE optimized geometry
data_SrBe
_chemical_formula_sum 'Sr6 Be6'
_symmetry_space_group_name_H-M 'P 1'
_symmetry_Int_Tables_number 1
_cell_length_a 10.7858
_cell_length_b 10.7858
_cell_length_c 4.0982
_cell_angle_alpha 90.00
_cell_angle_beta 90.00
_cell_angle_gamma 120.00
loop_
_symmetry_equiv_pos_as_xyz
'x,y,z'
loop_
_atom_site_label
_atom_site_type_symbol
_atom_site_fract_x
_atom_site_fract_y
_atom_site_fract_z
_atom_site_occupancy
Sr1 Sr 0.2058 0.4115 0.2500 1
Sr2 Sr 0.2058 0.7942 0.2500 1
Sr3 Sr 0.4115 0.2058 0.7500 1
Sr4 Sr 0.5885 0.7942 0.2500 1
Sr5 Sr 0.7942 0.2058 0.7500 1
Sr6 Sr 0.7942 0.5885 0.7500 1
Be1 Be 0.0297 0.5148 0.7500 1
Be2 Be 0.4852 0.5148 0.7500 1
Be3 Be 0.4852 0.9703 0.7500 1
Be4 Be 0.5148 0.0297 0.2500 1
Be5 Be 0.5148 0.4852 0.2500 1
Be6 Be 0.9703 0.4852 0.2500 1
# Theoretical density = 2.3 g/cm3
# Energy of formation from the pure elements = 0.392 eV per atom
# E = -2.312 eV/atom
# Excess energy over the best structure of this formula in the dataset = 92 meV per atom
# Total magnetization = 0.00 μB per atom
# Space group = P6_3/mmc (194)

Please write out number 8 again, unchanged.
# SrBe GGA-PBE optimized geometry
data_SrBe
_chemical_formula_sum 'Sr4 Be4'
_symmetry_space_group_name_H-M 'P 1'
_symmetry_Int_Tables_number 1
_cell_length_a 8.2682
_cell_length_b 8.2682
_cell_length_c 8.2682
_cell_angle_alpha 93.52
_cell_angle_beta 93.52
_cell_angle_gamma 151.31
loop_
_symmetry_equiv_pos_as_xyz
'x,y,z'
loop_
_atom_site_label
_atom_site_type_symbol
_atom_site_fract_x
_atom_site_fract_y
_atom_site_fract_z
_atom_site_occupancy
Sr1 Sr 0.0000 0.2636 0.2636 1
Sr2 Sr 0.0000 0.7364 0.7364 1
Sr3 Sr 0.2636 0.0000 0.2636 1
Sr4 Sr 0.7364 0.0000 0.7364 1
Be1 Be 0.2672 0.2672 0.5343 1
Be2 Be 0.2672 0.7328 0.0000 1
Be3 Be 0.7328 0.2672 0.0000 1
Be4 Be 0.7328 0.7328 0.4657 1
# Theoretical density = 2.4 g/cm3
# Energy of formation from the pure elements = 0.372 eV per atom
# E = -2.332 eV/atom
# Excess energy over the best structure of this formula in the dataset = 73 meV per atom
# Total magnetization = 0.00 μB per atom
# Space group = I4/mmm (139)